# 1
DFT (PBE) results for an optimized crystal structure of CaSiTc2.

Geometry as CIF:
```
data_CaSiTc2
_space_group_name_H-M_alt 'P 1'
_space_group_IT_number 1
_space_group_name_Hall 'P 1'
_cell_length_a 4.234
_cell_length_b 4.234
_cell_length_c 5.834
_cell_angle_alpha 68.70
_cell_angle_beta 68.70
_cell_angle_gamma 59.99
loop_
_atom_site_label
_atom_site_fract_x
_atom_site_fract_y
_atom_site_fract_z
Ca1 0.502 0.502 0.493
Si1 0.304 0.304 0.087
Tc1 0.996 0.996 0.014
Tc2 0.698 0.698 0.907
```

For the raw total energy, the calculation gives -28.68 eV for the cell shown. The density comes out at 5.34 g/cm³. As for the formation energy without anion corrections: -51 kJ/mol of formula units. The value obtained for the magnetization is 0.000 Bohr magnetons per cell. As for the symmetry: R3m (160).

# 2
DFT (PBE) results for an optimized crystal structure of CaSiTc2.

Geometry as CIF:
```
data_CaSiTc2
_space_group_name_H-M_alt 'P 1'
_space_group_IT_number 1
_space_group_name_Hall 'P 1'
_cell_length_a 5.474
_cell_length_b 5.474
_cell_length_c 5.474
_cell_angle_alpha 147.79
_cell_angle_beta 130.38
_cell_angle_gamma 60.40
loop_
_atom_site_label
_atom_site_fract_x
_atom_site_fract_y
_atom_site_fract_z
Ca1 0.503 0.503 0.000
Si1 0.220 0.720 0.500
Tc1 0.003 0.003 0.000
Tc2 0.774 0.274 0.500
```

For the raw total energy, the calculation gives -27.18 eV for the cell shown. The density comes out at 6.65 g/cm³. As for the formation energy without anion corrections: 94 kJ/mol of formula units. The value obtained for the magnetization is 0.000 Bohr magnetons per cell. As for the symmetry: Imm2 (44).

# 3
DFT (PBE) results for an optimized crystal structure of CaSiTc2.

Geometry as CIF:
```
data_CaSiTc2
_space_group_name_H-M_alt 'P 1'
_space_group_IT_number 1
_space_group_name_Hall 'P 1'
_cell_length_a 4.525
_cell_length_b 4.525
_cell_length_c 9.290
_cell_angle_alpha 75.90
_cell_angle_beta 75.90
_cell_angle_gamma 90.00
loop_
_atom_site_label
_atom_site_fract_x
_atom_site_fract_y
_atom_site_fract_z
Ca1 0.000 0.000 0.000
Ca2 0.750 0.250 0.500
Si1 0.500 0.500 0.000
Si2 0.250 0.750 0.500
Tc1 0.441 0.125 0.250
Tc2 0.309 0.625 0.250
Tc3 0.375 0.559 0.750
Tc4 0.875 0.691 0.750
```

For the raw total energy, the calculation gives -52.98 eV for the cell shown. The density comes out at 4.91 g/cm³. As for the formation energy without anion corrections: 161 kJ/mol of formula units. The value obtained for the magnetization is 0.000 Bohr magnetons per cell. As for the symmetry: I-42d (122).

# 4
DFT (PBE) results for an optimized crystal structure of CaSiTc2.

Geometry as CIF:
```
data_CaSiTc2
_space_group_name_H-M_alt 'P 1'
_space_group_IT_number 1
_space_group_name_Hall 'P 1'
_cell_length_a 4.651
_cell_length_b 2.742
_cell_length_c 5.336
_cell_angle_alpha 88.41
_cell_angle_beta 90.00
_cell_angle_gamma 90.00
loop_
_atom_site_label
_atom_site_fract_x
_atom_site_fract_y
_atom_site_fract_z
Ca1 0.500 0.250 0.250
Si1 0.500 0.750 0.750
Tc1 0.000 0.875 0.972
Tc2 0.000 0.625 0.528
```

For the raw total energy, the calculation gives -26.85 eV for the cell shown. The density comes out at 6.45 g/cm³. As for the formation energy without anion corrections: 126 kJ/mol of formula units. The value obtained for the magnetization is 0.000 Bohr magnetons per cell. As for the symmetry: P2/m (10).

# 5
DFT (PBE) results for an optimized crystal structure of CaSi2Tc4.

Geometry as CIF:
```
data_CaSi2Tc4
_space_group_name_H-M_alt 'P 1'
_space_group_IT_number 1
_space_group_name_Hall 'P 1'
_cell_length_a 4.130
_cell_length_b 4.138
_cell_length_c 7.218
_cell_angle_alpha 106.66
_cell_angle_beta 90.00
_cell_angle_gamma 90.00
loop_
_atom_site_label
_atom_site_fract_x
_atom_site_fract_y
_atom_site_fract_z
Ca1 0.000 0.000 0.000
Si1 0.500 0.590 0.180
Si2 0.500 0.410 0.820
Tc1 0.500 0.809 0.618
Tc2 0.000 0.696 0.392
Tc3 0.500 0.191 0.382
Tc4 0.000 0.304 0.608
```

For the raw total energy, the calculation gives -56.75 eV for the cell shown. The density comes out at 6.86 g/cm³. As for the formation energy without anion corrections: -235 kJ/mol of formula units. The value obtained for the magnetization is 0.000 Bohr magnetons per cell. As for the symmetry: Cmmm (65).

# 6
DFT (PBE) results for an optimized crystal structure of CaSi2Tc2.

Geometry as CIF:
```
data_CaSi2Tc2
_space_group_name_H-M_alt 'P 1'
_space_group_IT_number 1
_space_group_name_Hall 'P 1'
_cell_length_a 4.094
_cell_length_b 4.094
_cell_length_c 5.971
_cell_angle_alpha 110.05
_cell_angle_beta 110.05
_cell_angle_gamma 90.00
loop_
_atom_site_label
_atom_site_fract_x
_atom_site_fract_y
_atom_site_fract_z
Ca1 0.000 0.000 0.000
Si1 0.621 0.621 0.241
Si2 0.379 0.379 0.759
Tc1 0.750 0.250 0.500
Tc2 0.250 0.750 0.500
```

For the raw total energy, the calculation gives -35.80 eV for the cell shown. The density comes out at 5.54 g/cm³. For the relative energy among the computed polymorphs, the calculation gives 0.00 eV per formula unit. As for the formation energy without anion corrections: -214 kJ/mol of formula units. The value obtained for the magnetization is 0.372 Bohr magnetons per cell. As for the symmetry: I4/mmm (139).

# 7
DFT (PBE) results for an optimized crystal structure of CaSiTc2.

Geometry as CIF:
```
data_CaSiTc2
_space_group_name_H-M_alt 'P 1'
_space_group_IT_number 1
_space_group_name_Hall 'P 1'
_cell_length_a 4.221
_cell_length_b 3.078
_cell_length_c 5.886
_cell_angle_alpha 77.40
_cell_angle_beta 90.00
_cell_angle_gamma 90.00
loop_
_atom_site_label
_atom_site_fract_x
_atom_site_fract_y
_atom_site_fract_z
Ca1 0.000 0.506 0.533
Si1 0.500 0.880 0.802
Tc1 0.000 0.875 0.027
Tc2 0.500 0.239 0.139
```

For the raw total energy, the calculation gives -27.78 eV for the cell shown. The density comes out at 5.88 g/cm³. As for the formation energy without anion corrections: 36 kJ/mol of formula units. The value obtained for the magnetization is 0.000 Bohr magnetons per cell. As for the symmetry: Pm (6).

# 8
DFT (PBE) results for an optimized crystal structure of Ca4SiTc.

Geometry as CIF:
```
data_Ca4SiTc
_space_group_name_H-M_alt 'P 1'
_space_group_IT_number 1
_space_group_name_Hall 'P 1'
_cell_length_a 6.095
_cell_length_b 6.095
_cell_length_c 6.095
_cell_angle_alpha 60.00
_cell_angle_beta 60.00
_cell_angle_gamma 60.00
loop_
_atom_site_label
_atom_site_fract_x
_atom_site_fract_y
_atom_site_fract_z
Ca1 0.877 0.374 0.374
Ca2 0.374 0.374 0.877
Ca3 0.374 0.877 0.374
Ca4 0.374 0.374 0.374
Si1 0.750 0.750 0.750
Tc1 0.000 0.000 0.000
```

For the raw total energy, the calculation gives -17.73 eV for the cell shown. The density comes out at 2.97 g/cm³. As for the formation energy without anion corrections: 586 kJ/mol of formula units. The value obtained for the magnetization is 1.536 Bohr magnetons per cell. As for the symmetry: F-43m (216).